[1]
First-principles (PBE) data for crystalline CeEr2H8 at its relaxed geometry, as listed in Alexandria via LeMat-Bulk.

abc: 6.341 6.341 6.341
angles: 146.69 130.65 60.85
Fractional positions:
Ce  0.000  0.000  0.000
Er  0.330  0.330  0.000
Er  0.670  0.670  0.000
H  0.100  0.834  0.267
H  0.155  0.655  0.500
H  0.284  0.500  0.784
H  0.433  0.166  0.267
H  0.567  0.834  0.733
H  0.716  0.500  0.216
H  0.845  0.345  0.500
H  0.900  0.166  0.733

Properties
For the total moment, the calculation gives 0.85 μB/cell. Its crystal system is orthorhombic. The space-group type is No. 71. For the uncorrected energy, the calculation gives -48.422 eV/f.u.

[2]
First-principles (PBE) data for crystalline Ce3ErH8 at its relaxed geometry, as listed in Alexandria via LeMat-Bulk.

abc: 5.360 5.360 5.360
angles: 90.00 90.00 90.00
Fractional positions:
Ce  0.000  0.000  0.500
Ce  0.000  0.500  0.000
Ce  0.500  0.000  0.000
Er  0.500  0.500  0.500
H  0.259  0.259  0.259
H  0.259  0.259  0.741
H  0.259  0.741  0.259
H  0.259  0.741  0.741
H  0.741  0.259  0.259
H  0.741  0.259  0.741
H  0.741  0.741  0.259
H  0.741  0.741  0.741

Properties
For the total moment, the calculation gives 2.75 μB/cell. Its crystal system is cubic. The space-group type is No. 221. For the uncorrected energy, the calculation gives -56.110 eV/f.u.

[3]
First-principles (PBE) data for crystalline CeEr3H8 at its relaxed geometry, as listed in Alexandria via LeMat-Bulk.

abc: 5.200 5.200 5.200
angles: 90.00 90.00 90.00
Fractional positions:
Ce  0.000  0.000  0.000
Er  0.000  0.500  0.500
Er  0.500  0.000  0.500
Er  0.500  0.500  0.000
H  0.259  0.259  0.259
H  0.259  0.259  0.741
H  0.259  0.741  0.259
H  0.259  0.741  0.741
H  0.741  0.259  0.259
H  0.741  0.259  0.741
H  0.741  0.741  0.259
H  0.741  0.741  0.741

Properties
For the total moment, the calculation gives 0.73 μB/cell. Its crystal system is cubic. The space-group type is No. 221. For the uncorrected energy, the calculation gives -54.453 eV/f.u.

[4]
First-principles (PBE) data for crystalline CeErH2 at its relaxed geometry, as listed in Alexandria via LeMat-Bulk.

abc: 6.143 6.143 6.143
angles: 32.68 32.68 32.68
Fractional positions:
Ce  0.000  0.000  0.000
Er  0.500  0.500  0.500
H  0.245  0.245  0.245
H  0.755  0.755  0.755

Properties
For the total moment, the calculation gives 0.77 μB/cell. Its energy above the most stable polymorph in this dataset is 0 meV per atom. Its crystal system is trigonal. The space-group type is No. 166.

[5]
First-principles (PBE) data for crystalline CeEr2H at its relaxed geometry, as listed in Alexandria via LeMat-Bulk.

abc: 3.267 3.267 8.454
angles: 90.00 90.00 90.00
Fractional positions:
Ce  0.000  0.000  0.000
Er  0.500  0.500  0.309
Er  0.500  0.500  0.691
H  0.000  0.000  0.500

Properties
For the total moment, the calculation gives 0.54 μB/cell. Its energy above the most stable polymorph in this dataset is 167 meV per atom. Its crystal system is tetragonal. The space-group type is No. 123.

[6]
First-principles (PBE) data for crystalline CeErH2 at its relaxed geometry, as listed in Alexandria via LeMat-Bulk.

abc: 6.350 6.350 6.350
angles: 30.93 30.93 30.93
Fractional positions:
Ce  0.000  0.000  0.000
Er  0.824  0.824  0.824
H  0.232  0.232  0.232
H  0.419  0.419  0.419

Properties
For the total moment, the calculation gives 0.80 μB/cell. Its energy above the most stable polymorph in this dataset is 76 meV per atom. Its crystal system is trigonal. The space-group type is No. 160.

[7]
First-principles (PBE) data for crystalline CeEr2H at its relaxed geometry, as listed in Alexandria via LeMat-Bulk.

abc: 9.494 9.494 9.494
angles: 20.43 20.43 20.43
Fractional positions:
Ce  0.000  0.000  0.000
Er  0.118  0.118  0.118
Er  0.882  0.882  0.882
H  0.500  0.500  0.500

Properties
For the total moment, the calculation gives 0.74 μB/cell. Its energy above the most stable polymorph in this dataset is 0 meV per atom. Its crystal system is trigonal. The space-group type is No. 166.

[8]
First-principles (PBE) data for crystalline CeErHf at its relaxed geometry, as listed in Alexandria via LeMat-Bulk.

abc: 3.286 3.286 14.895
angles: 90.00 90.00 90.00
Fractional positions:
Ce  0.250  0.250  0.233
Ce  0.750  0.750  0.767
Er  0.250  0.250  0.588
Er  0.750  0.750  0.412
Hf  0.250  0.250  0.930
Hf  0.750  0.750  0.070

Properties
For the total moment, the calculation gives 0.60 μB/cell. Its energy above the most stable polymorph in this dataset is 0 meV per atom. The value obtained for the energy of formation is 0.32 eV/f.u. Its crystal system is tetragonal. The space-group type is No. 129.

[9]
First-principles (PBE) data for crystalline CeErHf at its relaxed geometry, as listed in Alexandria via LeMat-Bulk.

abc: 3.328 3.328 8.274
angles: 90.00 90.00 120.00
Fractional positions:
Ce  0.000  0.000  0.000
Er  0.333  0.667  0.642
Hf  0.667  0.333  0.319

Properties
For the total moment, the calculation gives 0.00 μB/cell. Its energy above the most stable polymorph in this dataset is 27 meV per atom. The value obtained for the energy of formation is 0.40 eV/f.u. Its crystal system is trigonal. The space-group type is No. 156.

[10]
First-principles (PBE) data for crystalline CeErHf at its relaxed geometry, as listed in Alexandria via LeMat-Bulk.

abc: 7.876 7.876 7.876
angles: 156.03 156.03 34.15
Fractional positions:
Ce  0.000  0.000  0.000
Er  0.315  0.315  0.000
Hf  0.659  0.659  0.000

Properties
For the total moment, the calculation gives 0.50 μB/cell. Its energy above the most stable polymorph in this dataset is 28 meV per atom. The value obtained for the energy of formation is 0.40 eV/f.u. Its crystal system is tetragonal. The space-group type is No. 107.

[11]
First-principles (PBE) data for crystalline CeErHfIn at its relaxed geometry, as listed in Alexandria via LeMat-Bulk.

abc: 5.203 5.203 5.203
angles: 60.00 60.00 60.00
Fractional positions:
Ce  0.000  0.000  0.000
Er  0.250  0.250  0.250
Hf  0.750  0.750  0.750
In  0.500  0.500  0.500

Properties
For the total moment, the calculation gives 0.61 μB/cell. The value obtained for the energy of formation is 0.16 eV/f.u. Its crystal system is cubic. The space-group type is No. 216.

[12]
First-principles (PBE) data for crystalline CeEr2HfN4 at its relaxed geometry, as listed in Alexandria via LeMat-Bulk.

abc: 5.868 3.393 5.922
angles: 90.00 109.18 90.00
Fractional positions:
Ce  0.000  0.000  0.000
Er  0.500  0.000  0.500
Er  0.500  0.500  0.000
Hf  0.000  0.500  0.500
N  0.236  0.000  0.732
N  0.245  0.500  0.266
N  0.755  0.500  0.734
N  0.764  0.000  0.268

Properties
For the total moment, the calculation gives 0.00 μB/cell. Its crystal system is monoclinic. The space-group type is No. 10. The formation energy without anion corrections comes out at -13.6 eV/f.u.